This record from the Alexandria database describes a relaxed Sr2MnSi crystal. The functional is PBE-GGA.

Unit cell a=9.8353 b=9.8353 c=9.8353 alpha=23.10 beta=23.10 gamma=23.10
Closest atoms and distances in Å follow each position.
Atoms (fractional coordinates):
Sr  0.2428  0.2428  0.2428  3 Si 3.15, 3 Mn 3.45
Sr  0.7572  0.7572  0.7572  3 Si 3.15, 3 Mn 3.45
Mn  0.0000  0.0000  0.0000  6 Sr 3.45
Si  0.5000  0.5000  0.5000  6 Sr 3.15

Computed properties:
The raw formation energy is 0.480 eV/atom. The value obtained for the raw total energy is -4.009 eV per atom. As for the space group: R-3m (166).